# TaBeB (PBE-GGA, optimized geometry)
# - Energy above the lowest structure with this stoichiometry: 0.176 eV/atom
# - Symmetry: C2/m, No. 12
# - Theoretical density: 10.733 g/cm3
# - Formation energy: -0.510 eV/atom
# - Calculated total energy: -7.929 eV per atom
data_TaBeB
_space_group_name_H-M_alt 'P 1'
_space_group_IT_number 1
_cell_length_a 5.643
_cell_length_b 3.234
_cell_length_c 8.610
_cell_angle_alpha 90.00
_cell_angle_beta 127.74
_cell_angle_gamma 90.00
loop_
_space_group_symop_operation_xyz
'x,y,z'
loop_
_atom_site_label
_atom_site_type_symbol
_atom_site_fract_x
_atom_site_fract_y
_atom_site_fract_z
Be1 Be 0.905 0.000 0.800
Ta1 Ta 0.325 0.000 0.576
B1 B 0.324 0.500 0.368
B2 B 0.676 0.500 0.632
B3 B 0.676 0.000 0.132
Be2 Be 0.095 0.000 0.200
Ta2 Ta 0.675 0.500 0.924
Be3 Be 0.905 0.500 0.300
Ta3 Ta 0.675 0.000 0.424
Ta4 Ta 0.325 0.500 0.076
B4 B 0.324 0.000 0.868
Be4 Be 0.095 0.500 0.700



# Lu2RuC (PBE-GGA, optimized geometry)
# - Symmetry: R-3m, No. 166
# - Theoretical density: 10.036 g/cm3
# - Formation energy: 0.230 eV/atom
# - Calculated total energy: -6.656 eV per atom
data_Lu2RuC
_space_group_name_H-M_alt 'P 1'
_space_group_IT_number 1
_cell_length_a 3.354
_cell_length_b 3.354
_cell_length_c 8.100
_cell_angle_alpha 78.05
_cell_angle_beta 78.05
_cell_angle_gamma 60.00
loop_
_space_group_symop_operation_xyz
'x,y,z'
loop_
_atom_site_label
_atom_site_type_symbol
_atom_site_fract_x
_atom_site_fract_y
_atom_site_fract_z
Ru1 Ru 0.000 0.000 0.000
Lu1 Lu 0.890 0.890 0.330
Lu2 Lu 0.110 0.110 0.670
C1 C 0.500 0.500 0.500



# K2Ac2TcO6 (PBE-GGA, optimized geometry)
# - Formation energy from raw total energies: -2195 meV per atom
# - Symmetry: C2/m, No. 12
# - Theoretical density: 5.528 g/cm3
# - Calculated total energy: -6.789 eV per atom
data_K2Ac2TcO6
_space_group_name_H-M_alt 'P 1'
_space_group_IT_number 1
_cell_length_a 6.220
_cell_length_b 6.220
_cell_length_c 6.623
_cell_angle_alpha 96.68
_cell_angle_beta 96.68
_cell_angle_gamma 119.00
loop_
_space_group_symop_operation_xyz
'x,y,z'
loop_
_atom_site_label
_atom_site_type_symbol
_atom_site_fract_x
_atom_site_fract_y
_atom_site_fract_z
K1 K 0.147 0.853 0.000
Ac1 Ac 0.663 0.337 0.500
O1 O 0.330 0.036 0.669
O2 O 0.771 0.771 0.682
O3 O 0.670 0.964 0.331
K2 K 0.853 0.147 0.000
Ac2 Ac 0.337 0.663 0.500
O4 O 0.964 0.670 0.331
O5 O 0.036 0.330 0.669
O6 O 0.229 0.229 0.318
Tc1 Tc 0.000 0.000 0.500



# CrReSb2 (PBE-GGA, optimized geometry)
# - Energy above the lowest structure with this stoichiometry: 0.361 eV/atom
# - Formation energy from raw total energies: 582 meV per atom
# - Symmetry: R-3m, No. 166
# - Theoretical density: 10.306 g/cm3
# - Calculated total energy: -6.997 eV per atom
data_CrReSb2
_space_group_name_H-M_alt 'P 1'
_space_group_IT_number 1
_cell_length_a 8.690
_cell_length_b 8.690
_cell_length_c 8.690
_cell_angle_alpha 21.56
_cell_angle_beta 21.56
_cell_angle_gamma 21.56
loop_
_space_group_symop_operation_xyz
'x,y,z'
loop_
_atom_site_label
_atom_site_type_symbol
_atom_site_fract_x
_atom_site_fract_y
_atom_site_fract_z
Cr1 Cr 0.250 0.250 0.250
Sb1 Sb 0.496 0.496 0.496
Sb2 Sb 0.004 0.004 0.004
Re1 Re 0.750 0.750 0.750